A plane-wave DFT calculation with PBE with a Hubbard U was carried out for a relaxed structure of PbW2SeF.

Lattice parameters (Å, degrees): 5.6754 5.6754 5.3711 90.00 90.00 90.00
Last column: nearest neighbours and their distance in Å.
Fractional positions:
1 Pb 0.0000 0.0000 0.0000  2 Se 2.69, 4 W 2.84
2 W 0.0000 0.5000 0.0000  2 Pb 2.84
3 W 0.5000 0.0000 0.0000  2 Pb 2.84
4 Se 0.0000 0.0000 0.5000  2 Pb 2.69
5 F 0.5000 0.5000 0.5000  8 W 3.91, 4 Se 4.01

## Properties
**Total energy**: -3.124 eV per atom
**Total magnetic moment**: 1.77 μB per atom
**Space group**: No. 123
**Crystal system**: tetragonal